Below is FeN2F after structural relaxation, with properties calculated at the PBE+U level.

Values from the calculation:
The space group is R-3m, No. 166. Its total energy is -3.928 eV/atom. The density of states at the Fermi level is 1.439 states/eV per cell. The distance to the lowest polymorph of the same formula is 1.2469 eV per atom.

abc: 6.6004 6.6004 6.6004
angles: 26.47 26.47 26.47
Closest atoms and distances in Å follow each position.
Fractional coordinates of all 4 atoms:
Fe (0.0000, 0.0000, 0.0000)  2 N 1.74
N (0.0912, 0.0912, 0.0912)  1 Fe 1.74
N (0.9088, 0.9088, 0.9088)  1 Fe 1.74
F (0.5000, 0.5000, 0.5000)  6 N 2.26